CePuAu | the Alexandria database | PBE | optimized geometry; excess energy over the best structure of this formula in the dataset = 0 meV per atom; energy of formation = -0.325 eV/atom; M_tot = 2.15 μB per atom
1.0
-0.958 -0.781 3.510
-1.216 -3.348 -1.077
5.743 0.104 -0.382
Au Pu Ce
1 1 1
Direct
0.667 0.667 0.335
0.996 0.996 0.991
0.337 0.337 0.674

MnCd2 | the Alexandria database | PBE | optimized geometry; energy of formation = 0.237 eV/atom; M_tot = 1.26 μB per atom
1.0
1.553 -7.607 0.000
1.553 7.607 0.000
0.000 0.000 4.892
Cd Mn
4 2
Direct
0.726 0.274 0.750
0.274 0.726 0.250
0.944 0.056 0.250
0.056 0.944 0.750
0.609 0.391 0.250
0.391 0.609 0.750

YErGeRu | the Alexandria database | PBE | optimized geometry; excess energy over the best structure of this formula in the dataset = 0 meV per atom; energy of formation = -0.641 eV/atom; M_tot = 0.00 μB per atom
1.0
4.222 0.000 0.000
0.000 3.837 0.000
-2.111 0.000 5.444
Ge Er Ru Y
1 1 1 1
Direct
0.430 0.000 0.860
0.134 0.000 0.268
0.584 0.500 0.168
0.852 0.500 0.705